Record 1
# ZnRe2Se, relaxed, DFT GGA-PBE
data_ZnRe2Se
_chemical_formula_sum 'Zn1 Re2 Se1'
_cell_length_a 3.0668
_cell_length_b 3.0668
_cell_length_c 6.2002
_cell_angle_alpha 90.00
_cell_angle_beta 90.00
_cell_angle_gamma 90.00
_space_group_name_H-M_alt 'P 1'
_space_group_IT_number 1
loop_
_space_group_symop_operation_xyz
'x,y,z'
loop_
_atom_site_label
_atom_site_type_symbol
_atom_site_fract_x
_atom_site_fract_y
_atom_site_fract_z
_atom_site_occupancy
Zn1 Zn 0.0000 0.0000 0.0000 1
Re1 Re 0.5000 0.5000 0.2515 1
Re2 Re 0.5000 0.5000 0.7485 1
Se1 Se 0.0000 0.0000 0.5000 1
# **ΔE_f (raw)**: 0.61 eV per atom
# **D(E_F)**: 2.6 states/eV per cell
# **Total moment**: 0.000 μB per atom
# **Volume**: 58.3 Å³ per cell

Record 2
# Na2TbY3Se6, relaxed, DFT GGA-PBE
data_Na2TbY3Se6
_chemical_formula_sum 'Na2 Tb1 Y3 Se6'
_cell_length_a 7.1169
_cell_length_b 7.1169
_cell_length_c 7.1938
_cell_angle_alpha 99.48
_cell_angle_beta 99.48
_cell_angle_gamma 119.94
_space_group_name_H-M_alt 'P 1'
_space_group_IT_number 1
loop_
_space_group_symop_operation_xyz
'x,y,z'
loop_
_atom_site_label
_atom_site_type_symbol
_atom_site_fract_x
_atom_site_fract_y
_atom_site_fract_z
_atom_site_occupancy
Na1 Na 0.1659 0.8341 0.0000 1
Na2 Na 0.8341 0.1659 0.0000 1
Tb1 Tb 0.5000 0.5000 0.0000 1
Y1 Y 0.0000 0.0000 0.5000 1
Y2 Y 0.3310 0.6690 0.5000 1
Y3 Y 0.6690 0.3310 0.5000 1
Se1 Se 0.0860 0.4156 0.7467 1
Se2 Se 0.2568 0.2568 0.2569 1
Se3 Se 0.4156 0.0860 0.7467 1
Se4 Se 0.5844 0.9140 0.2533 1
Se5 Se 0.7432 0.7432 0.7431 1
Se6 Se 0.9140 0.5844 0.2533 1
# **ΔE_f (raw)**: -1.73 eV per atom
# **D(E_F)**: 3.3 states/eV per cell
# **Total moment**: 0.000 μB per atom
# **Volume**: 298.1 Å³ per cell

Record 3
# MgScAs3, relaxed, DFT GGA-PBE
data_MgScAs3
_chemical_formula_sum 'Mg1 Sc1 As3'
_cell_length_a 4.9031
_cell_length_b 4.9031
_cell_length_c 4.9031
_cell_angle_alpha 90.00
_cell_angle_beta 90.00
_cell_angle_gamma 90.00
_space_group_name_H-M_alt 'P 1'
_space_group_IT_number 1
loop_
_space_group_symop_operation_xyz
'x,y,z'
loop_
_atom_site_label
_atom_site_type_symbol
_atom_site_fract_x
_atom_site_fract_y
_atom_site_fract_z
_atom_site_occupancy
Mg1 Mg 0.0000 0.0000 0.0000 1
Sc1 Sc 0.5000 0.5000 0.5000 1
As1 As 0.0000 0.0000 0.5000 1
As2 As 0.0000 0.5000 0.0000 1
As3 As 0.5000 0.0000 0.0000 1
# **D(E_F)**: 4.2 states/eV per cell
# **Total moment**: 0.000 μB per atom
# **DFT formation energy**: 283 meV/atom
# **Volume**: 117.9 Å³ per cell

Record 4
# LiAc4Nd3S8, relaxed, DFT GGA-PBE
data_LiAc4Nd3S8
_chemical_formula_sum 'Li1 Ac4 Nd3 S8'
_cell_length_a 8.3242
_cell_length_b 8.3242
_cell_length_c 8.3242
_cell_angle_alpha 60.37
_cell_angle_beta 60.37
_cell_angle_gamma 60.37
_space_group_name_H-M_alt 'P 1'
_space_group_IT_number 1
loop_
_space_group_symop_operation_xyz
'x,y,z'
loop_
_atom_site_label
_atom_site_type_symbol
_atom_site_fract_x
_atom_site_fract_y
_atom_site_fract_z
_atom_site_occupancy
Li1 Li 0.0000 0.0000 0.0000 1
Ac1 Ac 0.0000 0.0000 0.5000 1
Ac2 Ac 0.0000 0.5000 0.0000 1
Ac3 Ac 0.5000 0.0000 0.0000 1
Ac4 Ac 0.5000 0.5000 0.5000 1
Nd1 Nd 0.0000 0.5000 0.5000 1
Nd2 Nd 0.5000 0.0000 0.5000 1
Nd3 Nd 0.5000 0.5000 0.0000 1
S1 S 0.2399 0.2399 0.7503 1
S2 S 0.2399 0.7503 0.2399 1
S3 S 0.2497 0.7601 0.7601 1
S4 S 0.2548 0.2548 0.2548 1
S5 S 0.7452 0.7452 0.7452 1
S6 S 0.7503 0.2399 0.2399 1
S7 S 0.7601 0.2497 0.7601 1
S8 S 0.7601 0.7601 0.2497 1
# **ΔE_f (raw)**: -1.94 eV per atom
# **D(E_F)**: 10.3 states/eV per cell
# **Total moment**: 0.000 μB per atom
# **Volume**: 411.3 Å³ per cell

Record 5
# NpSi4Ni4, relaxed, DFT GGA-PBE
data_NpSi4Ni4
_chemical_formula_sum 'Np1 Si4 Ni4'
_cell_length_a 5.9410
_cell_length_b 5.9410
_cell_length_c 5.9410
_cell_angle_alpha 97.66
_cell_angle_beta 97.66
_cell_angle_gamma 137.18
_space_group_name_H-M_alt 'P 1'
_space_group_IT_number 1
loop_
_space_group_symop_operation_xyz
'x,y,z'
loop_
_atom_site_label
_atom_site_type_symbol
_atom_site_fract_x
_atom_site_fract_y
_atom_site_fract_z
_atom_site_occupancy
Np1 Np 0.0000 0.0000 0.0000 1
Si1 Si 0.1192 0.6116 0.7308 1
Si2 Si 0.3884 0.1192 0.5076 1
Si3 Si 0.6116 0.8808 0.4924 1
Si4 Si 0.8808 0.3884 0.2692 1
Ni1 Ni 0.1855 0.3249 0.5104 1
Ni2 Ni 0.3249 0.8145 0.1393 1
Ni3 Ni 0.6751 0.1855 0.8607 1
Ni4 Ni 0.8145 0.6751 0.4896 1
# **ΔE_f (raw)**: -0.35 eV per atom
# **D(E_F)**: 14.2 states/eV per cell
# **Total moment**: 0.536 μB per atom
# **Volume**: 132.7 Å³ per cell

Record 6
# CsSn3Cl, relaxed, DFT GGA-PBE
data_CsSn3Cl
_chemical_formula_sum 'Cs1 Sn3 Cl1'
_cell_length_a 5.7064
_cell_length_b 5.7064
_cell_length_c 5.7064
_cell_angle_alpha 90.00
_cell_angle_beta 90.00
_cell_angle_gamma 90.00
_space_group_name_H-M_alt 'P 1'
_space_group_IT_number 1
loop_
_space_group_symop_operation_xyz
'x,y,z'
loop_
_atom_site_label
_atom_site_type_symbol
_atom_site_fract_x
_atom_site_fract_y
_atom_site_fract_z
_atom_site_occupancy
Cs1 Cs 0.0000 0.0000 0.0000 1
Sn1 Sn 0.0000 0.5000 0.5000 1
Sn2 Sn 0.5000 0.0000 0.5000 1
Sn3 Sn 0.5000 0.5000 0.0000 1
Cl1 Cl 0.5000 0.5000 0.5000 1
# **ΔE_f (raw)**: 0.21 eV per atom
# **D(E_F)**: 4.6 states/eV per cell
# **Total moment**: 0.000 μB per atom
# **Volume**: 185.8 Å³ per cell

Record 7
# TmHfIr, relaxed, DFT GGA-PBE
data_TmHfIr
_chemical_formula_sum 'Tm3 Hf3 Ir3'
_cell_length_a 4.5674
_cell_length_b 7.0023
_cell_length_c 7.0023
_cell_angle_alpha 119.94
_cell_angle_beta 90.00
_cell_angle_gamma 90.00
_space_group_name_H-M_alt 'P 1'
_space_group_IT_number 1
loop_
_space_group_symop_operation_xyz
'x,y,z'
loop_
_atom_site_label
_atom_site_type_symbol
_atom_site_fract_x
_atom_site_fract_y
_atom_site_fract_z
_atom_site_occupancy
Tm1 Tm 0.0000 0.0000 0.0000 1
Tm2 Tm 0.0000 0.1683 0.5844 1
Tm3 Tm 0.0000 0.5844 0.1683 1
Hf1 Hf 0.5000 0.3298 0.3298 1
Hf2 Hf 0.5000 0.5837 0.8388 1
Hf3 Hf 0.5000 0.8388 0.5837 1
Ir1 Ir 0.0000 0.5849 0.5849 1
Ir2 Ir 0.5000 0.2502 0.9175 1
Ir3 Ir 0.5000 0.9175 0.2502 1
# **D(E_F)**: 9.6 states/eV per cell
# **Total moment**: 0.000 μB per atom
# **DFT formation energy**: -764 meV/atom
# **Volume**: 194.1 Å³ per cell

Record 8
# KCuCl2, relaxed, DFT GGA-PBE
data_KCuCl2
_chemical_formula_sum 'K2 Cu2 Cl4'
_cell_length_a 6.4247
_cell_length_b 6.4247
_cell_length_c 6.4247
_cell_angle_alpha 112.51
_cell_angle_beta 112.51
_cell_angle_gamma 103.56
_space_group_name_H-M_alt 'P 1'
_space_group_IT_number 1
loop_
_space_group_symop_operation_xyz
'x,y,z'
loop_
_atom_site_label
_atom_site_type_symbol
_atom_site_fract_x
_atom_site_fract_y
_atom_site_fract_z
_atom_site_occupancy
K1 K 0.0000 0.0000 0.0000 1
K2 K 0.7500 0.2500 0.5000 1
Cu1 Cu 0.2500 0.7500 0.5000 1
Cu2 Cu 0.5000 0.5000 0.0000 1
Cl1 Cl 0.2115 0.6250 0.0865 1
Cl2 Cl 0.3750 0.4615 0.5865 1
Cl3 Cl 0.5385 0.1250 0.9135 1
Cl4 Cl 0.8750 0.7885 0.4135 1
# **ΔE_f (raw)**: -1.15 eV per atom
# **D(E_F)**: 0.0 states/eV per cell
# **Total moment**: 0.000 μB per atom
# **Volume**: 202.5 Å³ per cell

Record 9
# LaPrDy14, relaxed, DFT GGA-PBE
data_LaPrDy14
_chemical_formula_sum 'La1 Pr1 Dy14'
_cell_length_a 11.5472
_cell_length_b 7.1553
_cell_length_c 7.1553
_cell_angle_alpha 60.20
_cell_angle_beta 90.00
_cell_angle_gamma 90.00
_space_group_name_H-M_alt 'P 1'
_space_group_IT_number 1
loop_
_space_group_symop_operation_xyz
'x,y,z'
loop_
_atom_site_label
_atom_site_type_symbol
_atom_site_fract_x
_atom_site_fract_y
_atom_site_fract_z
_atom_site_occupancy
La1 La 0.0000 0.0000 0.0000 1
Pr1 Pr 0.0000 0.5005 0.5005 1
Dy1 Dy 0.0000 0.0009 0.5002 1
Dy2 Dy 0.0000 0.5002 0.0009 1
Dy3 Dy 0.2518 0.6680 0.6680 1
Dy4 Dy 0.2529 0.1679 0.1679 1
Dy5 Dy 0.2548 0.1674 0.6670 1
Dy6 Dy 0.2548 0.6670 0.1674 1
Dy7 Dy 0.5000 0.3343 0.3343 1
Dy8 Dy 0.5000 0.3355 0.8345 1
Dy9 Dy 0.5000 0.8345 0.3355 1
Dy10 Dy 0.5000 0.8341 0.8341 1
Dy11 Dy 0.7452 0.1674 0.6670 1
Dy12 Dy 0.7452 0.6670 0.1674 1
Dy13 Dy 0.7471 0.1679 0.1679 1
Dy14 Dy 0.7482 0.6680 0.6680 1
# **D(E_F)**: 18.2 states/eV per cell
# **Total moment**: 0.000 μB per atom
# **DFT formation energy**: 10 meV/atom
# **Volume**: 513.0 Å³ per cell

Record 10
# TiBiWSe2, relaxed, DFT GGA-PBE
data_TiBiWSe2
_chemical_formula_sum 'Ti1 Bi1 W1 Se2'
_cell_length_a 4.8550
_cell_length_b 4.8550
_cell_length_c 5.0203
_cell_angle_alpha 90.00
_cell_angle_beta 90.00
_cell_angle_gamma 90.00
_space_group_name_H-M_alt 'P 1'
_space_group_IT_number 1
loop_
_space_group_symop_operation_xyz
'x,y,z'
loop_
_atom_site_label
_atom_site_type_symbol
_atom_site_fract_x
_atom_site_fract_y
_atom_site_fract_z
_atom_site_occupancy
Ti1 Ti 0.0000 0.0000 0.0000 1
Bi1 Bi 0.5000 0.5000 0.5000 1
W1 W 0.0000 0.0000 0.5000 1
Se1 Se 0.0000 0.5000 0.0000 1
Se2 Se 0.5000 0.0000 0.0000 1
# **ΔE_f (raw)**: 0.67 eV per atom
# **D(E_F)**: 4.4 states/eV per cell
# **Total moment**: 0.326 μB per atom
# **Volume**: 118.3 Å³ per cell

Record 11
# HgP, relaxed, DFT GGA-PBE
data_HgP
_chemical_formula_sum 'Hg2 P2'
_cell_length_a 3.3084
_cell_length_b 3.3084
_cell_length_c 10.6461
_cell_angle_alpha 90.00
_cell_angle_beta 90.00
_cell_angle_gamma 120.00
_space_group_name_H-M_alt 'P 1'
_space_group_IT_number 1
loop_
_space_group_symop_operation_xyz
'x,y,z'
loop_
_atom_site_label
_atom_site_type_symbol
_atom_site_fract_x
_atom_site_fract_y
_atom_site_fract_z
_atom_site_occupancy
Hg1 Hg 0.3333 0.6667 0.1435 1
Hg2 Hg 0.6667 0.3333 0.8565 1
P1 P 0.3333 0.6667 0.5580 1
P2 P 0.6667 0.3333 0.4420 1
# **D(E_F)**: 0.3 states/eV per cell
# **Total moment**: 0.000 μB per atom
# **DFT formation energy**: 36 meV/atom
# **Volume**: 100.9 Å³ per cell